A relaxed structure of KErVF6, computed with PBE+U.

Properties
Calculated total energy ... -106.613 eV/cell

```
KErVF6
1.0
-3.833 4.070 5.564
3.833 -4.070 5.564
3.833 4.070 -5.564
K Er V F
2 2 2 12
Cartesian
0.000 2.035 0.559 K
3.833 2.035 5.005 K
3.833 0.000 0.000 Er
0.000 0.000 5.564 Er
1.917 2.035 -2.782 V
1.917 -2.035 2.782 V
2.221 -0.508 1.330 F
5.445 -0.508 1.330 F
3.833 -2.035 3.567 F
2.221 3.562 -1.330 F
1.612 -0.508 4.234 F
3.833 2.035 0.788 F
0.000 2.035 4.776 F
2.221 4.577 1.330 F
1.612 0.508 6.894 F
0.000 6.105 1.997 F
-1.612 4.577 4.234 F
1.612 4.577 4.234 F
```